The following is a DFT calculation (PBE) of a geometry-optimized BaBe2PPb structure.

For the total moment, the calculation gives 0.96 μB per formula unit. The uncorrected energy comes out at -14.83 eV/cell.

The structure belongs to space group P4/mmm (No. 123); the cell edges are 4.614, 4.614 and 7.207 Å and the angles 90.00°, 90.00° and 90.00°. The inequivalent atoms are Ba at (0.000, 0.000, 0.000), Be at (0.000, 0.500, 0.500), P at (0.500, 0.500, 0.000) and Pb at (0.000, 0.000, 0.500).